1.
Here is CdNiRh after structural relaxation from Alexandria. Energies are from GGA-PBE. Values from VASP.

The structure in Quantum ESPRESSO input format:
```
&SYSTEM
  ibrav = 0, nat = 3, ntyp = 3
/
ATOMIC_SPECIES
Cd 112.41 Cd.upf
Ni 58.69 Ni.upf
Rh 102.91 Rh.upf
CELL_PARAMETERS angstrom
-0.9628 2.0792 3.6525
-2.7558 0.0770 -3.3152
-1.2694 -2.3458 1.0008
ATOMIC_POSITIONS angstrom
Cd -1.2689 -2.3450 1.0004
Ni -2.1963 0.2367 1.8312
Rh -2.7921 -0.4272 -0.4928
```

Density of states at the Fermi level in states/eV/atom: 1.3558
Magnetization in μB/f.u.: 0.0
Total DFT energy (no corrections) in eV/cell: -13.70
Energy of formation in eV/f.u.: 0.3
Offset from the most stable computed form in meV per atom: 84

---

2.
Here is CdNiRh2 after structural relaxation from Alexandria. Energies are from GGA-PBE. Values from VASP.

The structure in Quantum ESPRESSO input format:
```
&SYSTEM
  ibrav = 0, nat = 4, ntyp = 3
/
ATOMIC_SPECIES
Cd 112.41 Cd.upf
Ni 58.69 Ni.upf
Rh 102.91 Rh.upf
CELL_PARAMETERS angstrom
-0.9865 2.5306 -0.6701
-1.6646 -0.0537 2.2477
5.4583 3.2186 4.1190
ATOMIC_POSITIONS angstrom
Cd 2.7907 1.6456 2.1059
Ni 2.8802 3.7184 3.9626
Rh 5.4045 3.1868 4.0784
Rh -0.0806 1.9725 1.7283
```

Density of states at the Fermi level in states/eV/atom: 1.4421
Magnetization in μB/f.u.: 0.0
Total DFT energy (no corrections) in eV/cell: -21.20
Energy of formation in eV/f.u.: 0.2

---

3.
Here is CdNiRh after structural relaxation from Alexandria. Energies are from GGA-PBE. Values from VASP.

The structure in Quantum ESPRESSO input format:
```
&SYSTEM
  ibrav = 0, nat = 3, ntyp = 3
/
ATOMIC_SPECIES
Cd 112.41 Cd.upf
Ni 58.69 Ni.upf
Rh 102.91 Rh.upf
CELL_PARAMETERS angstrom
-0.5438 -2.7164 -0.5131
2.1963 1.2556 -1.2398
3.8402 -1.7241 5.0568
ATOMIC_POSITIONS angstrom
Cd 0.0291 -0.0131 0.0383
Ni 1.7012 -1.9902 0.9982
Rh 3.7624 -1.1815 2.2674
```

Density of states at the Fermi level in states/eV/atom: 1.0761
Magnetization in μB/f.u.: 0.7
Total DFT energy (no corrections) in eV/cell: -13.65
Energy of formation in eV/f.u.: 0.4
Offset from the most stable computed form in meV per atom: 100

---

4.
Here is Cd3NiRh after structural relaxation from Alexandria. Energies are from GGA-PBE. Values from VASP.

The structure in Quantum ESPRESSO input format:
```
&SYSTEM
  ibrav = 0, nat = 5, ntyp = 3
/
ATOMIC_SPECIES
Ni 58.69 Ni.upf
Rh 102.91 Rh.upf
Cd 112.41 Cd.upf
CELL_PARAMETERS angstrom
5.0794 0.0000 0.0000
0.0000 5.0794 0.0000
0.0000 0.0000 5.0794
ATOMIC_POSITIONS angstrom
Ni 2.5397 2.5397 2.5397
Rh 0.0000 0.0000 0.0000
Cd 0.0000 2.5397 0.0000
Cd 0.0000 0.0000 2.5397
Cd 2.5397 0.0000 0.0000
```

Density of states at the Fermi level in states/eV/atom: 0.9250
Magnetization in μB/f.u.: 0.0
Total DFT energy (no corrections) in eV/cell: -12.00
Energy of formation in eV/f.u.: 3.9
Offset from the most stable computed form in meV per atom: 168

---

5.
Here is CdNi2Rh after structural relaxation from Alexandria. Energies are from GGA-PBE. Values from VASP.

The structure in Quantum ESPRESSO input format:
```
&SYSTEM
  ibrav = 0, nat = 4, ntyp = 3
/
ATOMIC_SPECIES
Cd 112.41 Cd.upf
Ni 58.69 Ni.upf
Rh 102.91 Rh.upf
CELL_PARAMETERS angstrom
4.1439 0.0000 0.0000
0.0000 2.7222 0.0327
0.0000 1.2982 4.9843
ATOMIC_POSITIONS angstrom
Cd 2.0720 3.1819 3.9161
Ni 0.0000 0.5074 0.0270
Ni 2.0720 0.4969 1.3122
Rh 0.0000 1.8444 2.2702
```

Density of states at the Fermi level in states/eV/atom: 1.2711
Magnetization in μB/f.u.: 1.3
Total DFT energy (no corrections) in eV/cell: -19.41
Energy of formation in eV/f.u.: 0.4

---

6.
Here is CdNiRh2 after structural relaxation from Alexandria. Energies are from GGA-PBE. Values from VASP.

The structure in Quantum ESPRESSO input format:
```
&SYSTEM
  ibrav = 0, nat = 4, ntyp = 3
/
ATOMIC_SPECIES
Cd 112.41 Cd.upf
Ni 58.69 Ni.upf
Rh 102.91 Rh.upf
CELL_PARAMETERS angstrom
-0.7882 -1.6941 2.1329
-1.8835 -2.9151 -3.0115
3.9943 -2.2552 -0.3152
ATOMIC_POSITIONS angstrom
Cd 1.6031 -1.9746 0.9088
Ni 1.0554 -2.5851 -1.6633
Rh 0.0000 0.0000 0.0000
Rh -1.3359 -2.3046 -0.4393
```

Density of states at the Fermi level in states/eV/atom: 1.7797
Magnetization in μB/f.u.: 1.0
Total DFT energy (no corrections) in eV/cell: -20.71
Energy of formation in eV/f.u.: 0.7

---

7.
Here is CdNi2Rh after structural relaxation from Alexandria. Energies are from GGA-PBE. Values from VASP.

The structure in Quantum ESPRESSO input format:
```
&SYSTEM
  ibrav = 0, nat = 4, ntyp = 3
/
ATOMIC_SPECIES
Cd 112.41 Cd.upf
Ni 58.69 Ni.upf
Rh 102.91 Rh.upf
CELL_PARAMETERS angstrom
-2.5510 -8.2562 1.6161
-0.0538 -8.3400 2.7795
-2.2102 -7.3934 4.2115
ATOMIC_POSITIONS angstrom
Cd -3.6113 -17.9921 6.4554
Ni -4.7922 -23.8758 8.5664
Ni -2.4303 -12.1085 4.3444
Rh -1.2038 -5.9974 2.1518
```

Density of states at the Fermi level in states/eV/atom: 1.4414
Magnetization in μB/f.u.: 2.2
Total DFT energy (no corrections) in eV/cell: -19.12
Energy of formation in eV/f.u.: 0.7

---

8.
Here is Cd5NiRh after structural relaxation from Alexandria. Energies are from GGA-PBE. Values from VASP.

The structure in Quantum ESPRESSO input format:
```
&SYSTEM
  ibrav = 0, nat = 14, ntyp = 3
/
ATOMIC_SPECIES
Cd 112.41 Cd.upf
Ni 58.69 Ni.upf
Rh 102.91 Rh.upf
CELL_PARAMETERS angstrom
7.1165 0.0323 0.1094
2.2884 6.7386 0.1094
3.4904 2.5129 7.9150
ATOMIC_POSITIONS angstrom
Cd 7.1954 5.5518 0.9778
Cd 5.3251 5.6394 3.8078
Cd 9.2930 6.3188 4.9354
Cd 7.2584 1.6755 2.0882
Cd 4.1126 4.7665 0.3686
Cd 8.7827 4.5173 7.7653
Cd 5.6370 7.6083 6.0457
Cd 3.6023 2.9650 3.1985
Cd 7.5702 3.6444 4.3261
Cd 5.6999 3.7320 7.1560
Ni 5.7609 3.7556 2.0882
Ni 7.1345 5.5282 6.0457
Rh 0.0000 0.0000 0.0000
Rh 1.7452 1.2564 3.9575
```

Density of states at the Fermi level in states/eV/atom: 0.3832
Magnetization in μB/f.u.: 0.0
Total DFT energy (no corrections) in eV/cell: -32.06
Energy of formation in eV/f.u.: 1.7

---

9.
Here is CdNiRh2 after structural relaxation from Alexandria. Energies are from GGA-PBE. Values from VASP.

The structure in Quantum ESPRESSO input format:
```
&SYSTEM
  ibrav = 0, nat = 4, ntyp = 3
/
ATOMIC_SPECIES
Cd 112.41 Cd.upf
Ni 58.69 Ni.upf
Rh 102.91 Rh.upf
CELL_PARAMETERS angstrom
4.4038 0.0000 0.0000
2.2019 3.8138 0.0000
2.2019 1.2713 3.5957
ATOMIC_POSITIONS angstrom
Cd 4.4038 2.5425 1.7978
Ni 6.6056 3.8138 2.6967
Rh 0.0000 0.0000 0.0000
Rh 2.2019 1.2713 0.8989
```

Density of states at the Fermi level in states/eV/atom: 1.8271
Magnetization in μB/f.u.: 2.0
Total DFT energy (no corrections) in eV/cell: -20.60
Energy of formation in eV/f.u.: 0.8

---

10.
Here is CdNiRh2 after structural relaxation from Alexandria. Energies are from GGA-PBE. Values from VASP.

The structure in Quantum ESPRESSO input format:
```
&SYSTEM
  ibrav = 0, nat = 4, ntyp = 3
/
ATOMIC_SPECIES
Cd 112.41 Cd.upf
Ni 58.69 Ni.upf
Rh 102.91 Rh.upf
CELL_PARAMETERS angstrom
-0.4762 -1.0891 2.4726
-1.3152 -1.1530 -2.1136
6.8296 -5.6443 -1.1706
ATOMIC_POSITIONS angstrom
Cd 0.8117 -2.5321 -0.1132
Ni 4.2265 -5.3543 -0.6985
Rh 6.6911 -5.5298 -1.1469
Rh 3.5533 -2.9366 -0.6091
```

Density of states at the Fermi level in states/eV/atom: 1.8157
Magnetization in μB/f.u.: 1.4
Total DFT energy (no corrections) in eV/cell: -20.55
Energy of formation in eV/f.u.: 0.9

---

11.
Here is CdNiRh2 after structural relaxation from Alexandria. Energies are from GGA-PBE. Values from VASP.

The structure in Quantum ESPRESSO input format:
```
&SYSTEM
  ibrav = 0, nat = 4, ntyp = 3
/
ATOMIC_SPECIES
Cd 112.41 Cd.upf
Ni 58.69 Ni.upf
Rh 102.91 Rh.upf
CELL_PARAMETERS angstrom
3.7737 0.0000 0.0000
0.0000 2.7942 0.0290
0.0000 2.7239 5.6825
ATOMIC_POSITIONS angstrom
Cd 0.0000 2.7599 2.9069
Ni 1.8869 4.1379 4.4129
Rh 0.0000 2.7221 5.6639
Rh 1.8869 1.3812 1.2660
```

Density of states at the Fermi level in states/eV/atom: 1.5299
Magnetization in μB/f.u.: 0.2
Total DFT energy (no corrections) in eV/cell: -21.12
Energy of formation in eV/f.u.: 0.3

---

12.
Here is CdNi2Rh after structural relaxation from Alexandria. Energies are from GGA-PBE. Values from VASP.

The structure in Quantum ESPRESSO input format:
```
&SYSTEM
  ibrav = 0, nat = 4, ntyp = 3
/
ATOMIC_SPECIES
Cd 112.41 Cd.upf
Ni 58.69 Ni.upf
Rh 102.91 Rh.upf
CELL_PARAMETERS angstrom
-2.3916 0.4444 -3.8698
-3.0875 -0.5386 3.3272
-0.0830 2.7286 0.3646
ATOMIC_POSITIONS angstrom
Cd -1.5853 1.0950 1.8459
Ni 0.0000 0.0000 0.0000
Ni -2.7396 -0.0471 -0.2713
Rh -1.2373 1.5865 -1.7526
```

Density of states at the Fermi level in states/eV/atom: 1.4849
Magnetization in μB/f.u.: 0.6
Total DFT energy (no corrections) in eV/cell: -19.44
Energy of formation in eV/f.u.: 0.4

---

13.
Here is Cd3NiRh after structural relaxation from Alexandria. Energies are from GGA-PBE. Values from VASP.

The structure in Quantum ESPRESSO input format:
```
&SYSTEM
  ibrav = 0, nat = 5, ntyp = 3
/
ATOMIC_SPECIES
Ni 58.69 Ni.upf
Rh 102.91 Rh.upf
Cd 112.41 Cd.upf
CELL_PARAMETERS angstrom
-0.7735 3.4795 -3.1806
-4.7104 -0.4415 0.6625
0.1886 3.2434 3.5023
ATOMIC_POSITIONS angstrom
Ni 0.0000 0.0000 0.0000
Rh -2.6476 3.1407 0.4921
Cd -2.3552 -0.2207 0.3312
Cd 0.0943 1.6217 1.7512
Cd -0.3867 1.7398 -1.5903
```

Density of states at the Fermi level in states/eV/atom: 0.5056
Magnetization in μB/f.u.: 0.0
Total DFT energy (no corrections) in eV/cell: -12.83
Energy of formation in eV/f.u.: 3.0
Offset from the most stable computed form in meV per atom: 0

---

14.
Here is CdNi2Rh after structural relaxation from Alexandria. Energies are from GGA-PBE. Values from VASP.

The structure in Quantum ESPRESSO input format:
```
&SYSTEM
  ibrav = 0, nat = 4, ntyp = 3
/
ATOMIC_SPECIES
Cd 112.41 Cd.upf
Ni 58.69 Ni.upf
Rh 102.91 Rh.upf
CELL_PARAMETERS angstrom
4.3141 0.0000 0.0000
2.1571 3.7361 0.0000
2.1571 1.2454 3.5225
ATOMIC_POSITIONS angstrom
Cd 4.3141 2.4908 1.7612
Ni 0.0000 0.0000 0.0000
Ni 2.1571 1.2454 0.8806
Rh 6.4712 3.7361 2.6418
```

Density of states at the Fermi level in states/eV/atom: 1.4141
Magnetization in μB/f.u.: 1.7
Total DFT energy (no corrections) in eV/cell: -19.08
Energy of formation in eV/f.u.: 0.7